This record from the Alexandria database describes ZnCr2Sb after structural relaxation. The functional is PBE-GGA.

abc: 4.795 4.795 4.895
angles: 101.37 101.37 37.87
Atoms (fractional coordinates):
Zn: 0.000 0.000 0.000
Cr: 0.250 0.250 0.785
Cr: 0.526 0.526 0.571
Sb: 0.768 0.768 0.301

Properties
Fermi-level density of states: 0.442 states/eV/atom
Formation energy (no corrections): 0.307 eV/atom
Energy above the most stable polymorph in this dataset: 50 meV per atom

---

This record from the Alexandria database describes Zn2CrSb after structural relaxation. The functional is PBE-GGA.

abc: 3.044 3.044 8.171
angles: 90.00 90.00 90.00
Atoms (fractional coordinates):
Zn: 0.000 0.000 0.201
Zn: 0.000 0.000 0.799
Cr: 0.500 0.500 0.000
Sb: 0.500 0.500 0.500

Properties
Fermi-level density of states: 0.310 states/eV/atom
Formation energy (no corrections): 0.310 eV/atom

---

This record from the Alexandria database describes Zn2CrSb after structural relaxation. The functional is PBE-GGA.

abc: 8.769 8.769 8.769
angles: 21.32 21.32 21.32
Atoms (fractional coordinates):
Zn: 0.242 0.242 0.242
Zn: 0.758 0.758 0.758
Cr: 0.500 0.500 0.500
Sb: 0.000 0.000 0.000

Properties
Fermi-level density of states: 0.706 states/eV/atom
Formation energy (no corrections): 0.396 eV/atom

---

This record from the Alexandria database describes ZnCr2Sb after structural relaxation. The functional is PBE-GGA.

abc: 3.403 3.403 5.920
angles: 90.00 90.00 90.00
Atoms (fractional coordinates):
Zn: 0.000 0.000 0.000
Cr: 0.500 0.500 0.242
Cr: 0.500 0.500 0.758
Sb: 0.000 0.000 0.500

Properties
Fermi-level density of states: 0.720 states/eV/atom
Formation energy (no corrections): 0.382 eV/atom
Energy above the most stable polymorph in this dataset: 125 meV per atom

---

This record from the Alexandria database describes Zn2CrSb after structural relaxation. The functional is PBE-GGA.

abc: 4.612 4.612 5.505
angles: 98.77 98.77 40.61
Atoms (fractional coordinates):
Zn: 0.000 0.000 0.000
Zn: 0.737 0.737 0.168
Cr: 0.260 0.260 0.774
Sb: 0.515 0.515 0.510

Properties
Fermi-level density of states: 0.458 states/eV/atom
Formation energy (no corrections): 0.231 eV/atom

---

This record from the Alexandria database describes ZnCrSb after structural relaxation. The functional is PBE-GGA.

abc: 4.447 4.447 4.447
angles: 60.00 60.00 60.00
Atoms (fractional coordinates):
Zn: 0.000 0.000 0.000
Cr: 0.250 0.250 0.250
Sb: 0.500 0.500 0.500

Properties
Fermi-level density of states: 0.406 states/eV/atom
Formation energy (no corrections): 0.167 eV/atom
Energy above the most stable polymorph in this dataset: 0 meV per atom

---

This record from the Alexandria database describes ZrZnCrSb2 after structural relaxation. The functional is PBE-GGA.

abc: 5.472 5.472 5.115
angles: 90.00 90.00 90.00
Atoms (fractional coordinates):
Zr: 0.000 0.000 0.000
Zn: 0.000 0.000 0.500
Cr: 0.500 0.500 0.500
Sb: 0.000 0.500 0.000
Sb: 0.500 0.000 0.000

Properties
Fermi-level density of states: 1.639 states/eV/atom
Formation energy (no corrections): 1.246 eV/atom

---

This record from the Alexandria database describes ZrCr3Sb after structural relaxation. The functional is PBE-GGA.

abc: 4.839 4.839 4.839
angles: 90.00 90.00 90.00
Atoms (fractional coordinates):
Zr: 0.000 0.000 0.000
Cr: 0.000 0.000 0.500
Cr: 0.000 0.500 0.000
Cr: 0.500 0.000 0.000
Sb: 0.500 0.500 0.500

Properties
Fermi-level density of states: 0.867 states/eV/atom
Formation energy (no corrections): 1.529 eV/atom
Energy above the most stable polymorph in this dataset: 225 meV per atom

---

This record from the Alexandria database describes Zr3CrSb after structural relaxation. The functional is PBE-GGA.

abc: 4.841 4.841 4.841
angles: 90.00 90.00 90.00
Atoms (fractional coordinates):
Zr: 0.000 0.000 0.500
Zr: 0.000 0.500 0.000
Zr: 0.500 0.000 0.000
Cr: 0.000 0.000 0.000
Sb: 0.500 0.500 0.500

Properties
Fermi-level density of states: 1.522 states/eV/atom
Formation energy (no corrections): 0.256 eV/atom
Energy above the most stable polymorph in this dataset: 0 meV per atom

---

This record from the Alexandria database describes ZrCr3Sb after structural relaxation. The functional is PBE-GGA.

abc: 4.856 4.856 4.856
angles: 90.00 90.00 90.00
Atoms (fractional coordinates):
Zr: 0.000 0.000 0.000
Cr: 0.000 0.500 0.500
Cr: 0.500 0.000 0.500
Cr: 0.500 0.500 0.000
Sb: 0.500 0.500 0.500

Properties
Fermi-level density of states: 1.277 states/eV/atom
Formation energy (no corrections): 1.304 eV/atom
Energy above the most stable polymorph in this dataset: 0 meV per atom

---

This record from the Alexandria database describes ZrCrSb2 after structural relaxation. The functional is PBE-GGA.

abc: 5.130 5.130 5.130
angles: 131.44 117.06 83.30
Atoms (fractional coordinates):
Zr: 0.000 0.000 0.000
Cr: 0.500 0.500 0.000
Sb: 0.272 0.772 0.500
Sb: 0.728 0.228 0.500

Properties
Fermi-level density of states: 0.901 states/eV/atom
Formation energy (no corrections): -0.049 eV/atom
Energy above the most stable polymorph in this dataset: 130 meV per atom

---

This record from the Alexandria database describes ZrCrSb2 after structural relaxation. The functional is PBE-GGA.

abc: 4.838 4.838 3.688
angles: 90.00 90.00 95.45
Atoms (fractional coordinates):
Zr: 0.000 0.000 0.000
Cr: 0.500 0.500 0.000
Sb: 0.000 0.500 0.500
Sb: 0.500 0.000 0.500

Properties
Fermi-level density of states: 0.740 states/eV/atom
Formation energy (no corrections): -0.082 eV/atom
Energy above the most stable polymorph in this dataset: 97 meV per atom

---

This record from the Alexandria database describes ZrCrSb2 after structural relaxation. The functional is PBE-GGA.

abc: 3.503 3.892 6.627
angles: 90.00 103.52 90.00
Atoms (fractional coordinates):
Zr: 0.000 0.000 0.000
Cr: 0.000 0.000 0.500
Sb: 0.425 0.500 0.749
Sb: 0.575 0.500 0.251

Properties
Fermi-level density of states: 0.705 states/eV/atom
Formation energy (no corrections): -0.054 eV/atom
Energy above the most stable polymorph in this dataset: 125 meV per atom

---

This record from the Alexandria database describes ZrCrSb2 after structural relaxation. The functional is PBE-GGA.

abc: 3.308 3.308 7.199
angles: 90.00 90.00 90.00
Atoms (fractional coordinates):
Zr: 0.000 0.000 0.000
Cr: 0.000 0.000 0.500
Sb: 0.500 0.500 0.281
Sb: 0.500 0.500 0.719

Properties
Fermi-level density of states: 0.649 states/eV/atom
Formation energy (no corrections): 0.015 eV/atom
Energy above the most stable polymorph in this dataset: 194 meV per atom

---

This record from the Alexandria database describes ZrCrSb2 after structural relaxation. The functional is PBE-GGA.

abc: 6.599 6.599 6.599
angles: 146.86 145.28 48.75
Atoms (fractional coordinates):
Zr: 0.000 0.000 0.000
Cr: 0.236 0.736 0.500
Sb: 0.411 0.411 0.000
Sb: 0.679 0.179 0.500

Properties
Fermi-level density of states: 0.729 states/eV/atom
Formation energy (no corrections): -0.144 eV/atom
Energy above the most stable polymorph in this dataset: 35 meV per atom

---

This record from the Alexandria database describes ZrCrSb2 after structural relaxation. The functional is PBE-GGA.

abc: 4.090 4.090 6.821
angles: 107.41 107.41 59.91
Atoms (fractional coordinates):
Zr: 0.000 0.000 0.000
Cr: 0.500 0.500 0.500
Sb: 0.241 0.241 0.724
Sb: 0.759 0.759 0.276

Properties
Fermi-level density of states: 0.913 states/eV/atom
Formation energy (no corrections): -0.116 eV/atom
Energy above the most stable polymorph in this dataset: 63 meV per atom

---

This record from the Alexandria database describes ZrCr2Sb after structural relaxation. The functional is PBE-GGA.

abc: 4.720 4.720 4.720
angles: 60.00 60.00 60.00
Atoms (fractional coordinates):
Zr: 0.000 0.000 0.000
Cr: 0.250 0.250 0.250
Cr: 0.500 0.500 0.500
Sb: 0.750 0.750 0.750

Properties
Fermi-level density of states: 1.447 states/eV/atom
Formation energy (no corrections): 0.269 eV/atom

---

This record from the Alexandria database describes ZrCrSb2 after structural relaxation. The functional is PBE-GGA.

abc: 3.942 3.942 5.851
angles: 90.00 90.00 90.00
Atoms (fractional coordinates):
Zr: 0.000 0.000 0.000
Cr: 0.500 0.500 0.348
Sb: 0.000 0.000 0.483
Sb: 0.500 0.500 0.856

Properties
Fermi-level density of states: 0.551 states/eV/atom
Formation energy (no corrections): -0.179 eV/atom
Energy above the most stable polymorph in this dataset: 0 meV per atom

---

This record from the Alexandria database describes ZrCrSb after structural relaxation. The functional is PBE-GGA.

abc: 5.356 5.356 5.356
angles: 141.23 141.23 55.98
Atoms (fractional coordinates):
Zr: 0.000 0.000 0.000
Cr: 0.332 0.332 0.000
Sb: 0.681 0.681 0.000

Properties
Fermi-level density of states: 0.946 states/eV/atom
Formation energy (no corrections): -0.018 eV/atom

---

This record from the Alexandria database describes ZrCr2Sb after structural relaxation. The functional is PBE-GGA.

abc: 4.388 4.388 3.492
angles: 90.00 90.00 90.00
Atoms (fractional coordinates):
Zr: 0.000 0.000 0.000
Cr: 0.000 0.500 0.500
Cr: 0.500 0.000 0.500
Sb: 0.500 0.500 0.000

Properties
Fermi-level density of states: 0.579 states/eV/atom
Formation energy (no corrections): 0.047 eV/atom